w | Material: K2CrW
Method: DFT, PBEsol
State: optimized geometry

Geometry as CIF:
```
data_K2CrW
_chemical_formula_sum 'K8 Cr4 W4'
_cell_length_a 8.138
_cell_length_b 8.138
_cell_length_c 8.138
_cell_angle_alpha 90.00
_cell_angle_beta 90.00
_cell_angle_gamma 90.00
_symmetry_space_group_name_H-M 'F m -3 m'
_symmetry_Int_Tables_number 225
_symmetry_space_group_name_Hall '-F 4 2 3'
loop_
_atom_site_label
_atom_site_fract_x
_atom_site_fract_y
_atom_site_fract_z
K1 0.250 0.250 0.250
Cr1 0.000 0.000 0.000
W1 0.000 0.000 0.500
```

Calculated volume (Å³/f.u.): 134.73


x | Material: K2CrW
Method: DFT, PBEsol
State: optimized geometry

Geometry as CIF:
```
data_K2CrW
_chemical_formula_sum 'K2 Cr1 W1'
_cell_length_a 2.828
_cell_length_b 2.828
_cell_length_c 11.726
_cell_angle_alpha 90.00
_cell_angle_beta 90.00
_cell_angle_gamma 90.00
_symmetry_space_group_name_H-M 'P 4/m m m'
_symmetry_Int_Tables_number 123
_symmetry_space_group_name_Hall '-P 4 2'
loop_
_atom_site_label
_atom_site_fract_x
_atom_site_fract_y
_atom_site_fract_z
K1 0.000 0.000 0.243
Cr1 0.500 0.500 0.500
W1 0.500 0.500 0.000
```

Calculated volume (Å³/f.u.): 93.77


Which structure wins on stability? x wins.


w | Material: LaMnCr2
Method: DFT, PBEsol
State: optimized geometry

Geometry as CIF:
```
data_LaMnCr2
_chemical_formula_sum 'La4 Mn4 Cr8'
_cell_length_a 6.308
_cell_length_b 6.308
_cell_length_c 6.308
_cell_angle_alpha 90.00
_cell_angle_beta 90.00
_cell_angle_gamma 90.00
_symmetry_space_group_name_H-M 'F -4 3 m'
_symmetry_Int_Tables_number 216
_symmetry_space_group_name_Hall 'F -4 2 3'
loop_
_atom_site_label
_atom_site_fract_x
_atom_site_fract_y
_atom_site_fract_z
La1 0.000 0.000 0.000
Mn1 0.250 0.250 0.250
Cr1 0.000 0.000 0.500
Cr2 0.250 0.250 0.750
```

Calculated volume (Å³/f.u.): 62.75


x | Material: LaMnCr2
Method: DFT, PBEsol
State: optimized geometry

Geometry as CIF:
```
data_LaMnCr2
_chemical_formula_sum 'La3 Mn3 Cr6'
_cell_length_a 3.8537
_cell_length_b 3.8537
_cell_length_c 16.4918
_cell_angle_alpha 90.00
_cell_angle_beta 90.00
_cell_angle_gamma 120.00
_symmetry_space_group_name_H-M 'R -3 m'
_symmetry_Int_Tables_number 166
_symmetry_space_group_name_Hall '-R 3 2"'
loop_
_atom_site_label
_atom_site_fract_x
_atom_site_fract_y
_atom_site_fract_z
La1 0.0000 0.0000 0.0000
Mn1 0.0000 0.0000 0.5000
Cr1 0.0000 0.0000 0.1989
```

Calculated volume (Å³/f.u.): 70.70


Which structure wins on stability? x wins.


w | Material: LaCrSN2
Method: DFT, PBEsol
State: optimized geometry

Geometry as CIF:
```
data_LaCrSN2
_chemical_formula_sum 'La1 Cr1 S1 N2'
_cell_length_a 4.043
_cell_length_b 4.043
_cell_length_c 5.907
_cell_angle_alpha 90.00
_cell_angle_beta 90.00
_cell_angle_gamma 90.00
_symmetry_space_group_name_H-M 'P 4/m m m'
_symmetry_Int_Tables_number 123
_symmetry_space_group_name_Hall '-P 4 2'
loop_
_atom_site_label
_atom_site_fract_x
_atom_site_fract_y
_atom_site_fract_z
La1 0.000 0.000 0.000
Cr1 0.500 0.500 0.500
S1 0.000 0.000 0.500
N1 0.000 0.500 0.000
```

Calculated volume (Å³/f.u.): 96.55


x | Material: LaCrSN2
Method: DFT, PBEsol
State: optimized geometry

Geometry as CIF:
```
data_LaCrSN2
_chemical_formula_sum 'La1 Cr1 S1 N2'
_cell_length_a 3.860
_cell_length_b 3.860
_cell_length_c 4.558
_cell_angle_alpha 90.00
_cell_angle_beta 90.00
_cell_angle_gamma 90.00
_symmetry_space_group_name_H-M 'P 4/m m m'
_symmetry_Int_Tables_number 123
_symmetry_space_group_name_Hall '-P 4 2'
loop_
_atom_site_label
_atom_site_fract_x
_atom_site_fract_y
_atom_site_fract_z
La1 0.000 0.000 0.000
Cr1 0.500 0.500 0.500
S1 0.500 0.500 0.000
N1 0.000 0.500 0.500
```

Calculated volume (Å³/f.u.): 67.91


Which structure wins on stability? x wins.


w | Material: LaNbCr3
Method: DFT, PBEsol
State: optimized geometry

Geometry as CIF:
```
data_LaNbCr3
_chemical_formula_sum 'La1 Nb1 Cr3'
_cell_length_a 4.726
_cell_length_b 4.726
_cell_length_c 4.726
_cell_angle_alpha 90.00
_cell_angle_beta 90.00
_cell_angle_gamma 90.00
_symmetry_space_group_name_H-M 'P m -3 m'
_symmetry_Int_Tables_number 221
_symmetry_space_group_name_Hall '-P 4 2 3'
loop_
_atom_site_label
_atom_site_fract_x
_atom_site_fract_y
_atom_site_fract_z
La1 0.000 0.000 0.000
Nb1 0.500 0.500 0.500
Cr1 0.000 0.500 0.500
```

Calculated volume (Å³/f.u.): 105.55


x | Material: LaNbCr3
Method: DFT, PBEsol
State: optimized geometry

Geometry as CIF:
```
data_LaNbCr3
_chemical_formula_sum 'La1 Nb1 Cr3'
_cell_length_a 4.404
_cell_length_b 4.404
_cell_length_c 4.404
_cell_angle_alpha 90.00
_cell_angle_beta 90.00
_cell_angle_gamma 90.00
_symmetry_space_group_name_H-M 'P m -3 m'
_symmetry_Int_Tables_number 221
_symmetry_space_group_name_Hall '-P 4 2 3'
loop_
_atom_site_label
_atom_site_fract_x
_atom_site_fract_y
_atom_site_fract_z
La1 0.000 0.000 0.000
Nb1 0.500 0.500 0.500
Cr1 0.000 0.000 0.500
```

Calculated volume (Å³/f.u.): 85.44


Which structure wins on stability? w wins.


w | Material: La2CrO6
Method: DFT, PBEsol
State: optimized geometry

Geometry as CIF:
```
data_La2CrO6
_chemical_formula_sum 'La8 Cr4 O24'
_cell_length_a 14.314
_cell_length_b 4.369
_cell_length_c 8.354
_cell_angle_alpha 90.00
_cell_angle_beta 107.25
_cell_angle_gamma 90.00
_symmetry_space_group_name_H-M 'C 1 2/c 1'
_symmetry_Int_Tables_number 15
_symmetry_space_group_name_Hall '-C 2yc'
loop_
_atom_site_label
_atom_site_fract_x
_atom_site_fract_y
_atom_site_fract_z
La1 0.169 0.008 0.084
Cr1 0.000 0.460 0.250
O1 0.001 0.236 0.410
O2 0.099 0.328 0.798
O3 0.243 0.479 0.622
```

Calculated volume (Å³/f.u.): 124.73


x | Material: La2CrO6
Method: DFT, PBEsol
State: optimized geometry

Geometry as CIF:
```
data_La2CrO6
_chemical_formula_sum 'La6 Cr3 O18'
_cell_length_a 5.6203
_cell_length_b 5.6203
_cell_length_c 12.3443
_cell_angle_alpha 90.00
_cell_angle_beta 90.00
_cell_angle_gamma 120.00
_symmetry_space_group_name_H-M 'R -3'
_symmetry_Int_Tables_number 148
_symmetry_space_group_name_Hall '-R 3'
loop_
_atom_site_label
_atom_site_fract_x
_atom_site_fract_y
_atom_site_fract_z
La1 0.0000 0.0000 0.2430
Cr1 0.0000 0.0000 0.5000
O1 0.0397 0.6012 0.2500
```

Calculated volume (Å³/f.u.): 112.56


Which structure wins on stability? w wins.


w | Material: La2TiCrO6
Method: DFT, PBEsol
State: optimized geometry

Geometry as CIF:
```
data_La2TiCrO6
_chemical_formula_sum 'La4 Ti2 Cr2 O12'
_cell_length_a 5.485
_cell_length_b 5.501
_cell_length_c 9.495
_cell_angle_alpha 90.00
_cell_angle_beta 125.26
_cell_angle_gamma 90.00
_symmetry_space_group_name_H-M 'P 1 21/c 1'
_symmetry_Int_Tables_number 14
_symmetry_space_group_name_Hall '-P 2ybc'
loop_
_atom_site_label
_atom_site_fract_x
_atom_site_fract_y
_atom_site_fract_z
La1 0.244 0.034 0.250
Ti1 0.500 0.000 0.000
Cr1 0.000 0.000 0.500
O1 0.181 0.218 0.966
O2 0.247 0.716 0.965
O3 0.313 0.008 0.749
```

Calculated volume (Å³/f.u.): 116.95


x | Material: La2TiCrO6
Method: DFT, PBEsol
State: optimized geometry

Geometry as CIF:
```
data_La2TiCrO6
_chemical_formula_sum 'La6 Ti3 Cr3 O18'
_cell_length_a 5.5231
_cell_length_b 5.5231
_cell_length_c 13.2250
_cell_angle_alpha 90.00
_cell_angle_beta 90.00
_cell_angle_gamma 120.00
_symmetry_space_group_name_H-M 'R -3'
_symmetry_Int_Tables_number 148
_symmetry_space_group_name_Hall '-R 3'
loop_
_atom_site_label
_atom_site_fract_x
_atom_site_fract_y
_atom_site_fract_z
La1 0.0000 0.0000 0.2491
Ti1 0.0000 0.0000 0.5000
Cr1 0.0000 0.0000 0.0000
O1 0.0019 0.5597 0.7496
```

Calculated volume (Å³/f.u.): 116.46


Which structure wins on stability? w wins.


w | Material: LaCrOs2
Method: DFT, PBEsol
State: optimized geometry

Geometry as CIF:
```
data_LaCrOs2
_chemical_formula_sum 'La1 Cr1 Os2'
_cell_length_a 2.791
_cell_length_b 3.650
_cell_length_c 6.947
_cell_angle_alpha 90.00
_cell_angle_beta 90.00
_cell_angle_gamma 90.00
_symmetry_space_group_name_H-M 'P m m 2'
_symmetry_Int_Tables_number 25
_symmetry_space_group_name_Hall 'P 2 -2'
loop_
_atom_site_label
_atom_site_fract_x
_atom_site_fract_y
_atom_site_fract_z
La1 0.000 0.000 0.000
Cr1 0.500 0.500 0.653
Os1 0.000 0.000 0.507
Os2 0.500 0.500 0.306
```

Calculated volume (Å³/f.u.): 70.78


x | Material: LaCrOs2
Method: DFT, PBEsol
State: optimized geometry

Geometry as CIF:
```
data_LaCrOs2
_chemical_formula_sum 'La1 Cr1 Os2'
_cell_length_a 4.629
_cell_length_b 4.629
_cell_length_c 3.246
_cell_angle_alpha 90.00
_cell_angle_beta 90.00
_cell_angle_gamma 90.00
_symmetry_space_group_name_H-M 'P 4/m m m'
_symmetry_Int_Tables_number 123
_symmetry_space_group_name_Hall '-P 4 2'
loop_
_atom_site_label
_atom_site_fract_x
_atom_site_fract_y
_atom_site_fract_z
La1 0.000 0.000 0.000
Cr1 0.500 0.500 0.000
Os1 0.000 0.500 0.500
```

Calculated volume (Å³/f.u.): 69.54


Which structure wins on stability? w wins.


w | Material: LaCrP3
Method: DFT, PBEsol
State: optimized geometry

Geometry as CIF:
```
data_LaCrP3
_chemical_formula_sum 'La1 Cr1 P3'
_cell_length_a 5.253
_cell_length_b 5.253
_cell_length_c 5.253
_cell_angle_alpha 90.00
_cell_angle_beta 90.00
_cell_angle_gamma 90.00
_symmetry_space_group_name_H-M 'P m -3 m'
_symmetry_Int_Tables_number 221
_symmetry_space_group_name_Hall '-P 4 2 3'
loop_
_atom_site_label
_atom_site_fract_x
_atom_site_fract_y
_atom_site_fract_z
La1 0.000 0.000 0.000
Cr1 0.500 0.500 0.500
P1 0.000 0.000 0.500
```

Calculated volume (Å³/f.u.): 144.95


x | Material: LaCrP3
Method: DFT, PBEsol
State: optimized geometry

Geometry as CIF:
```
data_LaCrP3
_chemical_formula_sum 'La1 Cr1 P3'
_cell_length_a 4.484
_cell_length_b 4.484
_cell_length_c 4.484
_cell_angle_alpha 90.00
_cell_angle_beta 90.00
_cell_angle_gamma 90.00
_symmetry_space_group_name_H-M 'P m -3 m'
_symmetry_Int_Tables_number 221
_symmetry_space_group_name_Hall '-P 4 2 3'
loop_
_atom_site_label
_atom_site_fract_x
_atom_site_fract_y
_atom_site_fract_z
La1 0.000 0.000 0.000
Cr1 0.500 0.500 0.500
P1 0.000 0.500 0.500
```

Calculated volume (Å³/f.u.): 90.19


Which structure wins on stability? x wins.


w | Material: La2CrRe
Method: DFT, PBEsol
State: optimized geometry

Geometry as CIF:
```
data_La2CrRe
_chemical_formula_sum 'La2 Cr1 Re1'
_cell_length_a 3.107
_cell_length_b 3.863
_cell_length_c 7.889
_cell_angle_alpha 90.00
_cell_angle_beta 96.26
_cell_angle_gamma 90.00
_symmetry_space_group_name_H-M 'P 1 m 1'
_symmetry_Int_Tables_number 6
_symmetry_space_group_name_Hall 'P -2y'
loop_
_atom_site_label
_atom_site_fract_x
_atom_site_fract_y
_atom_site_fract_z
La1 0.000 0.000 0.000
La2 0.249 0.500 0.591
Cr1 0.814 0.000 0.346
Re1 0.455 0.500 0.247
```

Calculated volume (Å³/f.u.): 94.10


x | Material: La2CrRe
Method: DFT, PBEsol
State: optimized geometry

Geometry as CIF:
```
data_La2CrRe
_chemical_formula_sum 'La2 Cr1 Re1'
_cell_length_a 3.580
_cell_length_b 3.580
_cell_length_c 7.173
_cell_angle_alpha 90.00
_cell_angle_beta 90.00
_cell_angle_gamma 90.00
_symmetry_space_group_name_H-M 'P 4/m m m'
_symmetry_Int_Tables_number 123
_symmetry_space_group_name_Hall '-P 4 2'
loop_
_atom_site_label
_atom_site_fract_x
_atom_site_fract_y
_atom_site_fract_z
La1 0.000 0.000 0.236
Cr1 0.500 0.500 0.500
Re1 0.500 0.500 0.000
```

Calculated volume (Å³/f.u.): 91.92


Which structure wins on stability? w wins.


w | Material: La2CrRh
Method: DFT, PBEsol
State: optimized geometry

Geometry as CIF:
```
data_La2CrRh
_chemical_formula_sum 'La4 Cr2 Rh2'
_cell_length_a 3.862
_cell_length_b 4.251
_cell_length_c 11.647
_cell_angle_alpha 90.00
_cell_angle_beta 90.00
_cell_angle_gamma 90.00
_symmetry_space_group_name_H-M 'A m m 2'
_symmetry_Int_Tables_number 38
_symmetry_space_group_name_Hall 'A 2 -2'
loop_
_atom_site_label
_atom_site_fract_x
_atom_site_fract_y
_atom_site_fract_z
La1 0.000 0.000 0.000
La2 0.500 0.000 0.285
Cr1 0.000 0.000 0.703
Rh1 0.500 0.000 0.557
```

Calculated volume (Å³/f.u.): 95.62


x | Material: La2CrRh
Method: DFT, PBEsol
State: optimized geometry

Geometry as CIF:
```
data_La2CrRh
_chemical_formula_sum 'La2 Cr1 Rh1'
_cell_length_a 3.618
_cell_length_b 3.618
_cell_length_c 7.086
_cell_angle_alpha 90.00
_cell_angle_beta 90.00
_cell_angle_gamma 90.00
_symmetry_space_group_name_H-M 'P 4/m m m'
_symmetry_Int_Tables_number 123
_symmetry_space_group_name_Hall '-P 4 2'
loop_
_atom_site_label
_atom_site_fract_x
_atom_site_fract_y
_atom_site_fract_z
La1 0.000 0.000 0.233
Cr1 0.500 0.500 0.500
Rh1 0.500 0.500 0.000
```

Calculated volume (Å³/f.u.): 92.77


Which structure wins on stability? w wins.


w | Material: LaCrRu2
Method: DFT, PBEsol
State: optimized geometry

Geometry as CIF:
```
data_LaCrRu2
_chemical_formula_sum 'La2 Cr2 Ru4'
_cell_length_a 9.515
_cell_length_b 2.985
_cell_length_c 5.124
_cell_angle_alpha 90.00
_cell_angle_beta 104.17
_cell_angle_gamma 90.00
_symmetry_space_group_name_H-M 'C 1 m 1'
_symmetry_Int_Tables_number 8
_symmetry_space_group_name_Hall 'C -2y'
loop_
_atom_site_label
_atom_site_fract_x
_atom_site_fract_y
_atom_site_fract_z
La1 0.000 0.000 0.000
Cr1 0.283 0.500 0.341
Ru1 0.003 0.500 0.512
Ru2 0.233 0.000 0.668
```

Calculated volume (Å³/f.u.): 70.56


x | Material: LaCrRu2
Method: DFT, PBEsol
State: optimized geometry

Geometry as CIF:
```
data_LaCrRu2
_chemical_formula_sum 'La3 Cr3 Ru6'
_cell_length_a 2.8369
_cell_length_b 2.8369
_cell_length_c 27.5284
_cell_angle_alpha 90.00
_cell_angle_beta 90.00
_cell_angle_gamma 120.00
_symmetry_space_group_name_H-M 'R -3 m'
_symmetry_Int_Tables_number 166
_symmetry_space_group_name_Hall '-R 3 2"'
loop_
_atom_site_label
_atom_site_fract_x
_atom_site_fract_y
_atom_site_fract_z
La1 0.0000 0.0000 0.0000
Cr1 0.0000 0.0000 0.5000
Ru1 0.0000 0.0000 0.2346
```

Calculated volume (Å³/f.u.): 63.96


Which structure wins on stability? w wins.


w | Material: LaCrRu2
Method: DFT, PBEsol
State: optimized geometry

Geometry as CIF:
```
data_LaCrRu2
_chemical_formula_sum 'La2 Cr2 Ru4'
_cell_length_a 4.352
_cell_length_b 4.352
_cell_length_c 6.932
_cell_angle_alpha 90.00
_cell_angle_beta 90.00
_cell_angle_gamma 90.00
_symmetry_space_group_name_H-M 'I -4 m 2'
_symmetry_Int_Tables_number 119
_symmetry_space_group_name_Hall 'I -4 -2'
loop_
_atom_site_label
_atom_site_fract_x
_atom_site_fract_y
_atom_site_fract_z
La1 0.000 0.000 0.000
Cr1 0.000 0.500 0.750
Ru1 0.000 0.000 0.500
Ru2 0.000 0.500 0.250
```

Calculated volume (Å³/f.u.): 65.64


x | Material: LaCrRu2
Method: DFT, PBEsol
State: optimized geometry

Geometry as CIF:
```
data_LaCrRu2
_chemical_formula_sum 'La3 Cr3 Ru6'
_cell_length_a 2.7996
_cell_length_b 2.7996
_cell_length_c 28.2138
_cell_angle_alpha 90.00
_cell_angle_beta 90.00
_cell_angle_gamma 120.00
_symmetry_space_group_name_H-M 'R 3 m'
_symmetry_Int_Tables_number 160
_symmetry_space_group_name_Hall 'R 3 -2"'
loop_
_atom_site_label
_atom_site_fract_x
_atom_site_fract_y
_atom_site_fract_z
La1 0.0000 0.0000 0.0000
Cr1 0.0000 0.0000 0.7604
Ru1 0.0000 0.0000 0.2361
Ru2 0.0000 0.0000 0.4951
```

Calculated volume (Å³/f.u.): 63.84


Which structure wins on stability? w wins.